# 1
# La2HoPaP4 GGA-PBE optimized geometry
data_La2HoPaP4
_chemical_formula_sum 'La2 Ho1 Pa1 P4'
_cell_length_a 7.0733
_cell_length_b 4.1112
_cell_length_c 7.1794
_cell_angle_alpha 90.00
_cell_angle_beta 109.34
_cell_angle_gamma 90.00
_space_group_name_H-M_alt 'P 1'
_space_group_IT_number 1
loop_
_space_group_symop_operation_xyz
'x,y,z'
loop_
_atom_site_label
_atom_site_type_symbol
_atom_site_fract_x
_atom_site_fract_y
_atom_site_fract_z
La1 La 0.0000 0.0000 0.0000
La2 La 0.5000 0.5000 0.0000
Ho1 Ho 0.0000 0.5000 0.5000
Pa1 Pa 0.5000 0.0000 0.5000
P1 P 0.2486 0.0000 0.7299
P2 P 0.2603 0.5000 0.2718
P3 P 0.7397 0.5000 0.7282
P4 P 0.7514 0.0000 0.2701
# * formation energy: -1521 meV/atom
# * space-group type: P2/m (10)
# * total magnetic moment: 0.00 μB/atom

# 2
# UH8Pd6 GGA-PBE optimized geometry
data_UH8Pd6
_chemical_formula_sum 'U1 H8 Pd6'
_cell_length_a 6.1216
_cell_length_b 6.1216
_cell_length_c 6.1216
_cell_angle_alpha 56.63
_cell_angle_beta 56.63
_cell_angle_gamma 56.63
_space_group_name_H-M_alt 'P 1'
_space_group_IT_number 1
loop_
_space_group_symop_operation_xyz
'x,y,z'
loop_
_atom_site_label
_atom_site_type_symbol
_atom_site_fract_x
_atom_site_fract_y
_atom_site_fract_z
U1 U 0.0000 0.0000 0.0000
H1 H 0.1796 0.7268 0.7268
H2 H 0.2732 0.2732 0.8204
H3 H 0.2732 0.8204 0.2732
H4 H 0.3018 0.3018 0.3018
H5 H 0.6982 0.6982 0.6982
H6 H 0.7268 0.1796 0.7268
H7 H 0.7268 0.7268 0.1796
H8 H 0.8204 0.2732 0.2732
Pd1 Pd 0.0804 0.5939 0.5939
Pd2 Pd 0.4061 0.4061 0.9196
Pd3 Pd 0.4061 0.9196 0.4061
Pd4 Pd 0.5939 0.0804 0.5939
Pd5 Pd 0.5939 0.5939 0.0804
Pd6 Pd 0.9196 0.4061 0.4061
# * uncorrected energy: -70.7 eV per cell
# * space-group type: R-3m (166)
# * total magnetic moment: 0.18 μB/atom

# 3
# ZrFeBi2Ir GGA-PBE optimized geometry
data_ZrFeBi2Ir
_chemical_formula_sum 'Zr1 Fe1 Bi2 Ir1'
_cell_length_a 5.0168
_cell_length_b 5.0168
_cell_length_c 4.5331
_cell_angle_alpha 90.00
_cell_angle_beta 90.00
_cell_angle_gamma 90.00
_space_group_name_H-M_alt 'P 1'
_space_group_IT_number 1
loop_
_space_group_symop_operation_xyz
'x,y,z'
loop_
_atom_site_label
_atom_site_type_symbol
_atom_site_fract_x
_atom_site_fract_y
_atom_site_fract_z
Zr1 Zr 0.0000 0.0000 0.0000
Fe1 Fe 0.5000 0.5000 0.5000
Bi1 Bi 0.0000 0.5000 0.5000
Bi2 Bi 0.5000 0.0000 0.5000
Ir1 Ir 0.5000 0.5000 0.0000
# * formation energy: 716 meV/atom
# * space-group type: P4/mmm (123)
# * total magnetic moment: 0.00 μB/atom

# 4
# Te2AsIO GGA-PBE optimized geometry
data_Te2AsIO
_chemical_formula_sum 'Te2 As1 I1 O1'
_cell_length_a 4.4592
_cell_length_b 4.4592
_cell_length_c 6.6740
_cell_angle_alpha 90.00
_cell_angle_beta 90.00
_cell_angle_gamma 90.00
_space_group_name_H-M_alt 'P 1'
_space_group_IT_number 1
loop_
_space_group_symop_operation_xyz
'x,y,z'
loop_
_atom_site_label
_atom_site_type_symbol
_atom_site_fract_x
_atom_site_fract_y
_atom_site_fract_z
Te1 Te 0.0000 0.5000 0.0000
Te2 Te 0.5000 0.0000 0.0000
As1 As 0.0000 0.0000 0.5000
I1 I 0.5000 0.5000 0.5000
O1 O 0.5000 0.5000 0.0000
# * ΔE_f (raw): 0.376 eV per atom
# * space-group type: P4/mmm (123)
# * energy above the most stable polymorph in this dataset: 0 meV per atom
# * total magnetic moment: 0.00 μB/atom

# 5
# CeTc2H8 GGA-PBE optimized geometry
data_CeTc2H8
_chemical_formula_sum 'Ce1 Tc2 H8'
_cell_length_a 5.2173
_cell_length_b 5.2173
_cell_length_c 3.4874
_cell_angle_alpha 91.18
_cell_angle_beta 91.18
_cell_angle_gamma 117.25
_space_group_name_H-M_alt 'P 1'
_space_group_IT_number 1
loop_
_space_group_symop_operation_xyz
'x,y,z'
loop_
_atom_site_label
_atom_site_type_symbol
_atom_site_fract_x
_atom_site_fract_y
_atom_site_fract_z
Ce1 Ce 0.0000 0.0000 0.0000
Tc1 Tc 0.3270 0.6730 0.5000
Tc2 Tc 0.6730 0.3270 0.5000
H1 H 0.0235 0.3193 0.5177
H2 H 0.2769 0.7231 0.0000
H3 H 0.3193 0.0235 0.5177
H4 H 0.4138 0.4138 0.2563
H5 H 0.5862 0.5862 0.7437
H6 H 0.6807 0.9765 0.4823
H7 H 0.7231 0.2769 0.0000
H8 H 0.9765 0.6807 0.4823
# * space-group type: C2/m (12)
# * energy above the most stable polymorph in this dataset: 0 meV per atom
# * total magnetic moment: 0.05 μB/atom

# 6
# Sr2TlHg3Pd4 GGA-PBE optimized geometry
data_Sr2TlHg3Pd4
_chemical_formula_sum 'Sr2 Tl1 Hg3 Pd4'
_cell_length_a 4.4764
_cell_length_b 4.4764
_cell_length_c 12.0597
_cell_angle_alpha 90.00
_cell_angle_beta 90.00
_cell_angle_gamma 90.00
_space_group_name_H-M_alt 'P 1'
_space_group_IT_number 1
loop_
_space_group_symop_operation_xyz
'x,y,z'
loop_
_atom_site_label
_atom_site_type_symbol
_atom_site_fract_x
_atom_site_fract_y
_atom_site_fract_z
Sr1 Sr 0.0000 0.5000 0.2397
Sr2 Sr 0.5000 0.0000 0.7603
Tl1 Tl 0.0000 0.0000 0.5000
Hg1 Hg 0.0000 0.5000 0.8656
Hg2 Hg 0.5000 0.0000 0.1344
Hg3 Hg 0.5000 0.5000 0.5000
Pd1 Pd 0.0000 0.0000 0.0000
Pd2 Pd 0.0000 0.5000 0.6432
Pd3 Pd 0.5000 0.0000 0.3568
Pd4 Pd 0.5000 0.5000 0.0000
# * formation energy: -415 meV/atom
# * space-group type: P-4m2 (115)
# * total magnetic moment: 0.00 μB/atom

# 7
# ZrCu3Mo GGA-PBE optimized geometry
data_ZrCu3Mo
_chemical_formula_sum 'Zr1 Cu3 Mo1'
_cell_length_a 4.5664
_cell_length_b 4.5664
_cell_length_c 4.5664
_cell_angle_alpha 90.00
_cell_angle_beta 90.00
_cell_angle_gamma 90.00
_space_group_name_H-M_alt 'P 1'
_space_group_IT_number 1
loop_
_space_group_symop_operation_xyz
'x,y,z'
loop_
_atom_site_label
_atom_site_type_symbol
_atom_site_fract_x
_atom_site_fract_y
_atom_site_fract_z
Zr1 Zr 0.0000 0.0000 0.0000
Cu1 Cu 0.0000 0.5000 0.5000
Cu2 Cu 0.5000 0.0000 0.5000
Cu3 Cu 0.5000 0.5000 0.0000
Mo1 Mo 0.5000 0.5000 0.5000
# * formation energy: 1111 meV/atom
# * space-group type: Pm-3m (221)
# * energy above the most stable polymorph in this dataset: 0 meV per atom
# * total magnetic moment: 0.00 μB/atom

# 8
# Pu2AlBi GGA-PBE optimized geometry
data_Pu2AlBi
_chemical_formula_sum 'Pu2 Al1 Bi1'
_cell_length_a 4.6832
_cell_length_b 4.6832
_cell_length_c 4.6341
_cell_angle_alpha 90.00
_cell_angle_beta 90.00
_cell_angle_gamma 90.00
_space_group_name_H-M_alt 'P 1'
_space_group_IT_number 1
loop_
_space_group_symop_operation_xyz
'x,y,z'
loop_
_atom_site_label
_atom_site_type_symbol
_atom_site_fract_x
_atom_site_fract_y
_atom_site_fract_z
Pu1 Pu 0.0000 0.5000 0.0000
Pu2 Pu 0.5000 0.0000 0.0000
Al1 Al 0.0000 0.0000 0.5000
Bi1 Bi 0.5000 0.5000 0.5000
# * formation energy: -232 meV/atom
# * space-group type: P4/mmm (123)
# * energy above the most stable polymorph in this dataset: 0 meV per atom
# * total magnetic moment: 2.97 μB/atom

# 9
# SrFe5 GGA-PBE optimized geometry
data_SrFe5
_chemical_formula_sum 'Sr1 Fe5'
_cell_length_a 5.0578
_cell_length_b 5.0578
_cell_length_c 5.0578
_cell_angle_alpha 60.00
_cell_angle_beta 60.00
_cell_angle_gamma 60.00
_space_group_name_H-M_alt 'P 1'
_space_group_IT_number 1
loop_
_space_group_symop_operation_xyz
'x,y,z'
loop_
_atom_site_label
_atom_site_type_symbol
_atom_site_fract_x
_atom_site_fract_y
_atom_site_fract_z
Sr1 Sr 0.0000 0.0000 0.0000
Fe1 Fe 0.3759 0.3759 0.3759
Fe2 Fe 0.3759 0.3759 0.8724
Fe3 Fe 0.3759 0.8724 0.3759
Fe4 Fe 0.7500 0.7500 0.7500
Fe5 Fe 0.8724 0.3759 0.3759
# * formation energy: 490 meV/atom
# * space-group type: F-43m (216)
# * total magnetic moment: 2.12 μB/atom

# 10
# Er4CuPdRu2 GGA-PBE optimized geometry
data_Er4CuPdRu2
_chemical_formula_sum 'Er4 Cu1 Pd1 Ru2'
_cell_length_a 8.3708
_cell_length_b 8.3708
_cell_length_c 8.3708
_cell_angle_alpha 33.44
_cell_angle_beta 33.44
_cell_angle_gamma 33.44
_space_group_name_H-M_alt 'P 1'
_space_group_IT_number 1
loop_
_space_group_symop_operation_xyz
'x,y,z'
loop_
_atom_site_label
_atom_site_type_symbol
_atom_site_fract_x
_atom_site_fract_y
_atom_site_fract_z
Er1 Er 0.1244 0.1244 0.1244
Er2 Er 0.3746 0.3746 0.3746
Er3 Er 0.6254 0.6254 0.6254
Er4 Er 0.8756 0.8756 0.8756
Cu1 Cu 0.0000 0.0000 0.0000
Pd1 Pd 0.5000 0.5000 0.5000
Ru1 Ru 0.2505 0.2505 0.2505
Ru2 Ru 0.7495 0.7495 0.7495
# * formation energy: -548 meV/atom
# * space-group type: R-3m (166)
# * total magnetic moment: 0.00 μB/atom

# 11
# Cr2Tc GGA-PBE optimized geometry
data_Cr2Tc
_chemical_formula_sum 'Cr4 Tc2'
_cell_length_a 4.7509
_cell_length_b 4.7509
_cell_length_c 4.7509
_cell_angle_alpha 60.00
_cell_angle_beta 60.00
_cell_angle_gamma 60.00
_space_group_name_H-M_alt 'P 1'
_space_group_IT_number 1
loop_
_space_group_symop_operation_xyz
'x,y,z'
loop_
_atom_site_label
_atom_site_type_symbol
_atom_site_fract_x
_atom_site_fract_y
_atom_site_fract_z
Cr1 Cr 0.0000 0.0000 0.0000
Cr2 Cr 0.0000 0.0000 0.5000
Cr3 Cr 0.0000 0.5000 0.0000
Cr4 Cr 0.5000 0.0000 0.0000
Tc1 Tc 0.3750 0.3750 0.3750
Tc2 Tc 0.6250 0.6250 0.6250
# * formation energy: 44 meV/atom
# * space-group type: Fd-3m (227)
# * energy above the most stable polymorph in this dataset: 19 meV per atom
# * total magnetic moment: 0.00 μB/atom

# 12
# Ca2CeCl6 GGA-PBE optimized geometry
data_Ca2CeCl6
_chemical_formula_sum 'Ca4 Ce2 Cl12'
_cell_length_a 6.6498
_cell_length_b 6.6498
_cell_length_c 12.5039
_cell_angle_alpha 90.00
_cell_angle_beta 90.00
_cell_angle_gamma 90.00
_space_group_name_H-M_alt 'P 1'
_space_group_IT_number 1
loop_
_space_group_symop_operation_xyz
'x,y,z'
loop_
_atom_site_label
_atom_site_type_symbol
_atom_site_fract_x
_atom_site_fract_y
_atom_site_fract_z
Ca1 Ca 0.0000 0.0000 0.1707
Ca2 Ca 0.0000 0.0000 0.8293
Ca3 Ca 0.5000 0.5000 0.3293
Ca4 Ca 0.5000 0.5000 0.6707
Ce1 Ce 0.0000 0.0000 0.5000
Ce2 Ce 0.5000 0.5000 0.0000
Cl1 Cl 0.1916 0.1916 0.0000
Cl2 Cl 0.2053 0.2053 0.3274
Cl3 Cl 0.2053 0.2053 0.6726
Cl4 Cl 0.2947 0.7053 0.1726
Cl5 Cl 0.2947 0.7053 0.8274
Cl6 Cl 0.3084 0.6916 0.5000
Cl7 Cl 0.6916 0.3084 0.5000
Cl8 Cl 0.7053 0.2947 0.1726
Cl9 Cl 0.7053 0.2947 0.8274
Cl10 Cl 0.7947 0.7947 0.3274
Cl11 Cl 0.7947 0.7947 0.6726
Cl12 Cl 0.8084 0.8084 0.0000
# * ΔE_f (raw): -2.170 eV per atom
# * space-group type: P4_2/mnm (136)
# * energy above the most stable polymorph in this dataset: 34 meV per atom
# * total magnetic moment: 0.22 μB/atom